Compound: NbBiS2Cl
Source: the Alexandria database
Functional: GGA-PBE
Structure: relaxed

Cell and atoms, written as POSCAR:
```
NbBiS2Cl
1.0
-2.1882 4.3405 -2.1673
-0.3860 -2.5258 -4.6687
-4.6735 -1.7031 1.3077
S Nb Cl Bi
2 1 1 1
direct
0.5000 0.0000 0.0000 S
0.0000 0.5000 0.0000 S
0.5000 0.5000 0.5000 Nb
0.0000 0.0000 0.5000 Cl
0.0000 0.0000 0.0000 Bi
```

Properties
relative energy among the computed polymorphs = 4.80 eV/f.u.
space group = P4/mmm, No. 123
electronic total energy = -20.59 eV/cell
density = 4.58 g/cm³